Entry 1:
! CaRe2Au PBE optimized geometry; values from VASP
! Density of states at the Fermi level ... 0.72 states/eV per atom
! V ... 18.2 Å³ per atom
! Total magnetization ... 0.0 μB per formula unit
! Polymorph energy (0 for the lowest one) ... 294 meV/atom
&SYSTEM
  ibrav = 0, nat = 4, ntyp = 3
/
ATOMIC_SPECIES
Re 186.21 Re.upf
Ca 40.08 Ca.upf
Au 196.97 Au.upf
CELL_PARAMETERS angstrom
-1.325 1.241 -5.763
1.774 -3.209 -4.803
-2.953 0.619 5.235
ATOMIC_POSITIONS crystal
Re 0.025 0.025 0.000
Re 0.475 0.475 0.000
Ca 0.750 0.250 0.500
Au 0.250 0.750 0.500

=====

Entry 2:
! TbPmPr5Tm2 PBE optimized geometry; values from VASP
! Density of states at the Fermi level ... 1.59 states/eV per atom
! E ... -81.825 eV for the cell shown
! V ... 35.0 Å³ per atom
! Total magnetization ... 0.0 μB per formula unit
&SYSTEM
  ibrav = 0, nat = 18, ntyp = 4
/
ATOMIC_SPECIES
Tb 158.93 Tb.upf
Pm 145.00 Pm.upf
Pr 140.91 Pr.upf
Tm 168.93 Tm.upf
CELL_PARAMETERS angstrom
-1.827 -3.471 4.111
0.894 -6.113 -8.690
10.221 -2.256 2.638
ATOMIC_POSITIONS crystal
Tb 0.590 0.180 0.959
Tb 0.410 0.820 0.459
Pm 0.800 0.601 0.510
Pm 0.200 0.399 0.010
Pr 0.388 0.776 0.024
Pr 0.719 0.438 0.811
Pr 0.481 0.961 0.743
Pr 0.295 0.591 0.703
Pr 0.984 0.969 0.520
Pr 0.612 0.224 0.524
Pr 0.281 0.562 0.311
Pr 0.519 0.039 0.243
Pr 0.705 0.409 0.203
Pr 0.016 0.031 0.020
Tm 0.884 0.768 0.813
Tm 0.111 0.221 0.740
Tm 0.116 0.232 0.313
Tm 0.889 0.779 0.240